Record 1
# PBE-GGA YTa2NiSe, optimized geometry
# ΔE_f (raw), eV/atom: 0.619
data_YTa2NiSe
_chemical_formula_sum 'Y1 Ta2 Ni1 Se1'
_space_group_name_H-M_alt 'P 4/m m m'
_space_group_IT_number 123
_space_group_name_Hall '-P 4 2'
_cell_length_a 4.644
_cell_length_b 4.644
_cell_length_c 5.049
_cell_angle_alpha 90.00
_cell_angle_beta 90.00
_cell_angle_gamma 90.00
loop_
_atom_site_label
_atom_site_fract_x
_atom_site_fract_y
_atom_site_fract_z
_atom_site_occupancy
Y1 0.000 0.000 0.000 1
Ta1 0.000 0.500 0.500 1
Ni1 0.500 0.500 0.500 1
Se1 0.500 0.500 0.000 1

Record 2
# PBE-GGA K3Rb2BaCl6, optimized geometry
# ΔE_f (raw), eV/atom: -1.881
data_K3Rb2BaCl6
_chemical_formula_sum 'K6 Rb4 Ba2 Cl12'
_space_group_name_H-M_alt 'C 1 2/m 1'
_space_group_IT_number 12
_cell_length_a 20.282
_cell_length_b 4.465
_cell_length_c 9.591
_cell_angle_alpha 90.00
_cell_angle_beta 103.81
_cell_angle_gamma 90.00
loop_
_space_group_symop_operation_xyz
'x,y,z'
'-x,-y,-z'
'-x,y,-z'
'x,-y,z'
'x+1/2,y+1/2,z'
'-x+1/2,-y+1/2,-z'
'-x+1/2,y+1/2,-z'
'x+1/2,-y+1/2,z'
loop_
_atom_site_label
_atom_site_fract_x
_atom_site_fract_y
_atom_site_fract_z
_atom_site_occupancy
K1 0.000 0.000 0.000 1
K2 0.168 0.500 0.332 1
Rb1 0.167 0.500 0.836 1
Ba1 0.000 0.000 0.500 1
Cl1 0.003 0.500 0.244 1
Cl2 0.163 0.000 0.571 1
Cl3 0.164 0.000 0.092 1

Record 3
# PBE-GGA KBa2RhN, optimized geometry
# ΔE_f (raw), eV/atom: 0.004
data_KBa2RhN
_chemical_formula_sum 'K1 Ba2 Rh1 N1'
_space_group_name_H-M_alt 'P 4/m m m'
_space_group_IT_number 123
_space_group_name_Hall '-P 4 2'
_cell_length_a 6.081
_cell_length_b 6.081
_cell_length_c 3.948
_cell_angle_alpha 90.00
_cell_angle_beta 90.00
_cell_angle_gamma 90.00
loop_
_atom_site_label
_atom_site_fract_x
_atom_site_fract_y
_atom_site_fract_z
_atom_site_occupancy
K1 0.000 0.000 0.000 1
Ba1 0.000 0.500 0.500 1
Rh1 0.500 0.500 0.000 1
N1 0.500 0.500 0.500 1

Record 4
# PBE-GGA SrAcZnAu, optimized geometry
# Formation energy, eV per atom: -0.501
data_SrAcZnAu
_chemical_formula_sum 'Sr2 Ac2 Zn2 Au2'
_space_group_name_H-M_alt 'A m m 2'
_space_group_IT_number 38
_cell_length_a 4.854
_cell_length_b 4.322
_cell_length_c 11.690
_cell_angle_alpha 90.00
_cell_angle_beta 90.00
_cell_angle_gamma 90.00
loop_
_space_group_symop_operation_xyz
'x,y,z'
'-x,-y,z'
'-x,y,z'
'x,-y,z'
'x,y+1/2,z+1/2'
'-x,-y+1/2,z+1/2'
'-x,y+1/2,z+1/2'
'x,-y+1/2,z+1/2'
loop_
_atom_site_label
_atom_site_fract_x
_atom_site_fract_y
_atom_site_fract_z
_atom_site_occupancy
Sr1 0.000 0.000 0.000 1
Ac1 0.500 0.000 0.720 1
Zn1 0.000 0.000 0.288 1
Au1 0.500 0.000 0.427 1

Record 5
# PBE-GGA La8Nd2Tm, optimized geometry
# Formation energy, eV per atom: 0.122
data_La8Nd2Tm
_chemical_formula_sum 'La16 Nd4 Tm2'
_space_group_name_H-M_alt 'C 1 2/m 1'
_space_group_IT_number 12
_cell_length_a 9.298
_cell_length_b 16.956
_cell_length_c 6.089
_cell_angle_alpha 90.00
_cell_angle_beta 123.77
_cell_angle_gamma 90.00
loop_
_space_group_symop_operation_xyz
'x,y,z'
'-x,-y,-z'
'-x,y,-z'
'x,-y,z'
'x+1/2,y+1/2,z'
'-x+1/2,-y+1/2,-z'
'-x+1/2,y+1/2,-z'
'x+1/2,-y+1/2,z'
loop_
_atom_site_label
_atom_site_fract_x
_atom_site_fract_y
_atom_site_fract_z
_atom_site_occupancy
La1 0.000 0.205 0.000 1
La2 0.081 0.500 0.800 1
La3 0.213 0.117 0.683 1
Nd1 0.000 0.310 0.500 1
Tm1 0.000 0.000 0.000 1

Record 6
# PBE-GGA K2NpGa2O6, optimized geometry
# ΔE_f (raw), eV/atom: -2.006
data_K2NpGa2O6
_chemical_formula_sum 'K2 Np1 Ga2 O6'
_space_group_name_H-M_alt 'P -3 1 m'
_space_group_IT_number 162
_space_group_name_Hall '-P 3 2'
_cell_length_a 5.4964
_cell_length_b 5.4964
_cell_length_c 6.4043
_cell_angle_alpha 90.00
_cell_angle_beta 90.00
_cell_angle_gamma 120.00
loop_
_atom_site_label
_atom_site_fract_x
_atom_site_fract_y
_atom_site_fract_z
_atom_site_occupancy
K1 0.3333 0.6667 0.0000 1
Np1 0.0000 0.0000 0.5000 1
Ga1 0.3333 0.6667 0.5000 1
O1 0.0000 0.3607 0.6694 1

Record 7
# PBE-GGA PmGa4RuPt2, optimized geometry
# Formation energy, eV per atom: -0.657
data_PmGa4RuPt2
_chemical_formula_sum 'Pm3 Ga12 Ru3 Pt6'
_space_group_name_H-M_alt 'R -3 m'
_space_group_IT_number 166
_space_group_name_Hall '-R 3 2"'
_cell_length_a 4.2732
_cell_length_b 4.2732
_cell_length_c 26.4817
_cell_angle_alpha 90.00
_cell_angle_beta 90.00
_cell_angle_gamma 120.00
loop_
_atom_site_label
_atom_site_fract_x
_atom_site_fract_y
_atom_site_fract_z
_atom_site_occupancy
Pm1 0.0000 0.0000 0.0000 1
Ga1 0.0000 0.0000 0.1331 1
Ga2 0.0000 0.0000 0.4001 1
Ru1 0.0000 0.0000 0.5000 1
Pt1 0.0000 0.0000 0.2367 1

Record 8
# PBE-GGA TaGa3Ag, optimized geometry
# Formation energy, eV per atom: 0.692
data_TaGa3Ag
_chemical_formula_sum 'Ta1 Ga3 Ag1'
_space_group_name_H-M_alt 'P m -3 m'
_space_group_IT_number 221
_space_group_name_Hall '-P 4 2 3'
_cell_length_a 5.042
_cell_length_b 5.042
_cell_length_c 5.042
_cell_angle_alpha 90.00
_cell_angle_beta 90.00
_cell_angle_gamma 90.00
loop_
_atom_site_label
_atom_site_fract_x
_atom_site_fract_y
_atom_site_fract_z
_atom_site_occupancy
Ta1 0.000 0.000 0.000 1
Ga1 0.000 0.000 0.500 1
Ag1 0.500 0.500 0.500 1

Q: Which formula does entry 4 have?
A: SrAcZnAu

Q: What is the formula in the third record?
A: KBa2RhN